No. 1
VASP calculation (SCAN) on Ta5Mo3 at its PBEsol-relaxed geometry.

V: 16.6 Å³/atom
formation energy from the elements: -10 kJ per mole of atoms
energy above the lowest structure with this stoichiometry: 49 meV/atom
uncorrected energy: -438.39 eV/f.u.

CIF file:
```
data_Ta5Mo3
_chemical_formula_sum 'Ta5 Mo3'
_symmetry_space_group_name_H-M 'P 1 m 1'
_symmetry_Int_Tables_number 6
_cell_length_a 2.8210
_cell_length_b 4.5385
_cell_length_c 10.4135
_cell_angle_alpha 90.00
_cell_angle_beta 94.57
_cell_angle_gamma 90.00
loop_
_symmetry_equiv_pos_as_xyz
'x,y,z'
'x,-y,z'
loop_
_atom_site_label
_atom_site_type_symbol
_atom_site_fract_x
_atom_site_fract_y
_atom_site_fract_z
_atom_site_occupancy
Ta1 Ta 0.0000 0.0000 0.0000 1
Ta2 Ta 0.1007 0.5000 0.3791 1
Ta3 Ta 0.4847 0.0000 0.5082 1
Ta4 Ta 0.5932 0.5000 0.8732 1
Ta5 Ta 0.7054 0.0000 0.2498 1
Mo1 Mo 0.2251 0.0000 0.7513 1
Mo2 Mo 0.3515 0.5000 0.1254 1
Mo3 Mo 0.8584 0.5000 0.6294 1
```



No. 2
VASP calculation (SCAN) on Li2ScSb at its PBEsol-relaxed geometry.

V: 21.1 Å³/atom
E_form (uncorrected): -0.26 eV/atom
uncorrected energy: -57.33 eV/f.u.

CIF file:
```
data_Li2ScSb
_chemical_formula_sum 'Li4 Sc2 Sb2'
_symmetry_space_group_name_H-M 'C 1 m 1'
_symmetry_Int_Tables_number 8
_cell_length_a 8.8249
_cell_length_b 3.2483
_cell_length_c 5.9586
_cell_angle_alpha 90.00
_cell_angle_beta 98.40
_cell_angle_gamma 90.00
loop_
_symmetry_equiv_pos_as_xyz
'x,y,z'
'x,-y,z'
'x+1/2,y+1/2,z'
'x+1/2,-y+1/2,z'
loop_
_atom_site_label
_atom_site_type_symbol
_atom_site_fract_x
_atom_site_fract_y
_atom_site_fract_z
_atom_site_occupancy
Li1 Li 0.0000 0.0000 0.0000 1
Li2 Li 0.2485 0.0000 0.8013 1
Sc1 Sc 0.2617 0.5000 0.3170 1
Sb1 Sb 0.0080 0.5000 0.5729 1
```



No. 3
VASP calculation (SCAN) on CaFeS2 at its PBEsol-relaxed geometry.

V: 16.7 Å³/atom
E_form (uncorrected): -0.83 eV/atom
uncorrected energy: -50.37 eV/f.u.

CIF file:
```
data_CaFeS2
_chemical_formula_sum 'Ca4 Fe4 S8'
_symmetry_space_group_name_H-M 'F m -3 m'
_symmetry_Int_Tables_number 225
_symmetry_space_group_name_Hall '-F 4 2 3'
_cell_length_a 6.4431
_cell_length_b 6.4431
_cell_length_c 6.4431
_cell_angle_alpha 90.00
_cell_angle_beta 90.00
_cell_angle_gamma 90.00
loop_
_atom_site_label
_atom_site_type_symbol
_atom_site_fract_x
_atom_site_fract_y
_atom_site_fract_z
_atom_site_occupancy
Ca1 Ca 0.0000 0.0000 0.0000 1
Fe1 Fe 0.0000 0.0000 0.5000 1
S1 S 0.2500 0.2500 0.2500 1
```



No. 4
VASP calculation (SCAN) on ZrZnRe2 at its PBEsol-relaxed geometry.

V: 15.7 Å³/atom
formation energy from the elements: 1 kJ per mole of atoms
uncorrected energy: -186.37 eV/f.u.

CIF file:
```
data_ZrZnRe2
_chemical_formula_sum 'Zr4 Zn4 Re8'
_symmetry_space_group_name_H-M 'F -4 3 m'
_symmetry_Int_Tables_number 216
_symmetry_space_group_name_Hall 'F -4 2 3'
_cell_length_a 6.3100
_cell_length_b 6.3100
_cell_length_c 6.3100
_cell_angle_alpha 90.00
_cell_angle_beta 90.00
_cell_angle_gamma 90.00
loop_
_atom_site_label
_atom_site_type_symbol
_atom_site_fract_x
_atom_site_fract_y
_atom_site_fract_z
_atom_site_occupancy
Zr1 Zr 0.0000 0.0000 0.0000 1
Zn1 Zn 0.2500 0.2500 0.2500 1
Re1 Re 0.0000 0.0000 0.5000 1
Re2 Re 0.2500 0.2500 0.7500 1
```



No. 5
VASP calculation (SCAN) on NdEuB12 at its PBEsol-relaxed geometry.

V: 10.0 Å³/atom
formation energy from the elements: -54 kJ per mole of atoms
uncorrected energy: -194.31 eV/f.u.

CIF file:
```
data_NdEuB12
_chemical_formula_sum 'Nd4 Eu4 B48'
_symmetry_space_group_name_H-M 'F m -3 m'
_symmetry_Int_Tables_number 225
_symmetry_space_group_name_Hall '-F 4 2 3'
_cell_length_a 8.2394
_cell_length_b 8.2394
_cell_length_c 8.2394
_cell_angle_alpha 90.00
_cell_angle_beta 90.00
_cell_angle_gamma 90.00
loop_
_atom_site_label
_atom_site_type_symbol
_atom_site_fract_x
_atom_site_fract_y
_atom_site_fract_z
_atom_site_occupancy
Nd1 Nd 0.0000 0.0000 0.0000 1
Eu1 Eu 0.0000 0.0000 0.5000 1
B1 B 0.1000 0.2500 0.2500 1
```



No. 6
VASP calculation (SCAN) on Zn2AsRh at its PBEsol-relaxed geometry.

V: 14.4 Å³/atom
formation energy from the elements: -11 kJ per mole of atoms
uncorrected energy: -81.47 eV/f.u.

CIF file:
```
data_Zn2AsRh
_chemical_formula_sum 'Zn4 As2 Rh2'
_symmetry_space_group_name_H-M 'C 1 2/m 1'
_symmetry_Int_Tables_number 12
_cell_length_a 8.9554
_cell_length_b 2.9902
_cell_length_c 4.3830
_cell_angle_alpha 90.00
_cell_angle_beta 100.35
_cell_angle_gamma 90.00
loop_
_symmetry_equiv_pos_as_xyz
'x,y,z'
'-x,-y,-z'
'-x,y,-z'
'x,-y,z'
'x+1/2,y+1/2,z'
'-x+1/2,-y+1/2,-z'
'-x+1/2,y+1/2,-z'
'x+1/2,-y+1/2,z'
loop_
_atom_site_label
_atom_site_type_symbol
_atom_site_fract_x
_atom_site_fract_y
_atom_site_fract_z
_atom_site_occupancy
Zn1 Zn 0.2421 0.0000 0.2355 1
As1 As 0.0000 0.0000 0.5000 1
Rh1 Rh 0.0000 0.5000 0.0000 1
```



No. 7
VASP calculation (SCAN) on CaAlIr2 at its PBEsol-relaxed geometry.

V: 22.6 Å³/atom
formation energy from the elements: -19 kJ per mole of atoms
uncorrected energy: -160.40 eV/f.u.

CIF file:
```
data_CaAlIr2
_chemical_formula_sum 'Ca4 Al4 Ir8'
_symmetry_space_group_name_H-M 'I -4 2 d'
_symmetry_Int_Tables_number 122
_symmetry_space_group_name_Hall 'I -4 2bw'
_cell_length_a 4.6478
_cell_length_b 4.6478
_cell_length_c 16.7634
_cell_angle_alpha 90.00
_cell_angle_beta 90.00
_cell_angle_gamma 90.00
loop_
_atom_site_label
_atom_site_type_symbol
_atom_site_fract_x
_atom_site_fract_y
_atom_site_fract_z
_atom_site_occupancy
Ca1 Ca 0.0000 0.0000 0.0000 1
Al1 Al 0.0000 0.0000 0.5000 1
Ir1 Ir 0.0805 0.2500 0.6250 1
```



No. 8
VASP calculation (SCAN) on Lu2CdTc at its PBEsol-relaxed geometry.

V: 20.2 Å³/atom
formation energy from the elements: -25 kJ per mole of atoms
uncorrected energy: -177.19 eV/f.u.

CIF file:
```
data_Lu2CdTc
_chemical_formula_sum 'Lu8 Cd4 Tc4'
_symmetry_space_group_name_H-M 'F m -3 m'
_symmetry_Int_Tables_number 225
_symmetry_space_group_name_Hall '-F 4 2 3'
_cell_length_a 6.8616
_cell_length_b 6.8616
_cell_length_c 6.8616
_cell_angle_alpha 90.00
_cell_angle_beta 90.00
_cell_angle_gamma 90.00
loop_
_atom_site_label
_atom_site_type_symbol
_atom_site_fract_x
_atom_site_fract_y
_atom_site_fract_z
_atom_site_occupancy
Lu1 Lu 0.2500 0.2500 0.2500 1
Cd1 Cd 0.0000 0.0000 0.0000 1
Tc1 Tc 0.0000 0.0000 0.5000 1
```



Which value of uncorrected energy does entry 2 give?
-57.33 eV/f.u.



uncorrected energy of number 8 (Lu2CdTc)?
-177.19 eV/f.u.



What is the uncorrected energy in the fourth record?
-186.37 eV/f.u.



Which value of V does entry 4 give?
15.7 Å³/atom